[1]
The following is a DFT calculation (PBE) of a relaxed V8GeN2 crystal.

Values from the calculation:
Symmetry: C2/m (12)
E: -98.04 eV for the cell shown
Energy relative to the elements, uncorrected: -348 meV/atom

Cell and atoms, written as POSCAR:
```
V8GeN2
1.0
3.251 -4.848 0.000
3.251 4.848 0.000
-0.855 0.000 4.102
V Ge N
8 1 2
Direct
0.102 0.102 0.792 V
0.166 0.428 0.410 V
0.244 0.756 0.000 V
0.428 0.166 0.410 V
0.572 0.834 0.590 V
0.756 0.244 0.000 V
0.834 0.572 0.590 V
0.898 0.898 0.208 V
0.500 0.500 0.000 Ge
0.185 0.815 0.500 N
0.815 0.185 0.500 N
```

[2]
The following is a DFT calculation (PBE) of a relaxed NaTi2BeRe crystal.

Values from the calculation:
Formation energy: 2.25 eV/atom
Symmetry: P4/mmm (123)
E: -22.05 eV for the cell shown

Cell and atoms, written as POSCAR:
```
NaTi2BeRe
1.0
4.501 0.000 0.000
0.000 4.501 0.000
0.000 0.000 4.574
Na Ti Be Re
1 2 1 1
Direct
0.000 0.000 0.000 Na
0.000 0.500 0.000 Ti
0.500 0.000 0.000 Ti
0.500 0.500 0.500 Be
0.000 0.000 0.500 Re
```

[3]
The following is a DFT calculation (PBE) of a relaxed Rb2ZnAgBr6 crystal.

Values from the calculation:
ΔE to the lowest computed polymorph: 1.0 kJ/mol of atoms
Symmetry: I4/mmm (139)
E: -25.90 eV for the cell shown
Energy relative to the elements, uncorrected: -981 meV/atom

Cell and atoms, written as POSCAR:
```
Rb2ZnAgBr6
1.0
-3.825 3.825 5.404
3.825 -3.825 5.404
3.825 3.825 -5.404
Rb Zn Ag Br
2 1 1 6
Direct
0.250 0.750 0.500 Rb
0.750 0.250 0.500 Rb
0.000 0.000 0.000 Zn
0.500 0.500 0.000 Ag
0.238 0.238 0.476 Br
0.238 0.762 0.000 Br
0.257 0.257 0.000 Br
0.743 0.743 0.000 Br
0.762 0.238 0.000 Br
0.762 0.762 0.524 Br
```

[4]
The following is a DFT calculation (PBE) of a relaxed Cd6AgPt2 crystal.

Values from the calculation:
Formation energy: -0.17 eV/atom
ΔE to the lowest computed polymorph: 0.0 kJ/mol of atoms
Symmetry: C2/m (12)
E: -21.94 eV for the cell shown

Cell and atoms, written as POSCAR:
```
Cd6AgPt2
1.0
4.637 -2.149 0.000
4.637 2.149 0.000
-2.535 0.000 8.626
Cd Ag Pt
6 1 2
Direct
0.002 0.002 0.320 Cd
0.331 0.331 0.440 Cd
0.335 0.335 0.103 Cd
0.665 0.665 0.897 Cd
0.669 0.669 0.560 Cd
0.998 0.998 0.680 Cd
0.000 0.000 0.000 Ag
0.326 0.326 0.772 Pt
0.674 0.674 0.228 Pt
```

[5]
The following is a DFT calculation (PBE) of a relaxed Zn3NiPd crystal.

Values from the calculation:
Formation energy: 0.56 eV/atom
ΔE to the lowest computed polymorph: 29.4 kJ/mol of atoms
Symmetry: Pm-3m (221)
E: -11.98 eV for the cell shown

Cell and atoms, written as POSCAR:
```
Zn3NiPd
1.0
4.709 0.000 0.000
0.000 4.709 0.000
0.000 0.000 4.709
Zn Ni Pd
3 1 1
Direct
0.000 0.000 0.500 Zn
0.000 0.500 0.000 Zn
0.500 0.000 0.000 Zn
0.500 0.500 0.500 Ni
0.000 0.000 0.000 Pd
```

[6]
The following is a DFT calculation (PBE) of a relaxed Pr2Ho8Th3 crystal.

Values from the calculation:
Formation energy: 0.27 eV/atom
Symmetry: Cmmm (65)
E: -64.97 eV for the cell shown

Cell and atoms, written as POSCAR:
```
Pr2Ho8Th3
1.0
3.937 -10.223 0.000
3.937 10.223 0.000
0.000 0.000 5.508
Pr Ho Th
2 8 3
Direct
0.239 0.761 0.000 Pr
0.761 0.239 0.000 Pr
0.123 0.877 0.500 Ho
0.190 0.400 0.000 Ho
0.338 0.662 0.500 Ho
0.400 0.190 0.000 Ho
0.600 0.810 0.000 Ho
0.662 0.338 0.500 Ho
0.810 0.600 0.000 Ho
0.877 0.123 0.500 Ho
0.000 0.000 0.000 Th
0.297 0.297 0.500 Th
0.703 0.703 0.500 Th
```

[7]
The following is a DFT calculation (PBE) of a relaxed La6Pr4Sm crystal.

Values from the calculation:
Formation energy: 0.25 eV/atom
ΔE to the lowest computed polymorph: 1.8 kJ/mol of atoms
Symmetry: I-42m (121)
E: -50.63 eV for the cell shown

Cell and atoms, written as POSCAR:
```
La6Pr4Sm
1.0
-3.534 3.534 8.198
3.534 -3.534 8.198
3.534 3.534 -8.198
La Pr Sm
6 4 1
Direct
0.000 0.500 0.500 La
0.004 0.631 0.000 La
0.369 0.369 0.373 La
0.500 0.000 0.500 La
0.631 0.004 0.000 La
0.996 0.996 0.627 La
0.225 0.225 0.668 Pr
0.443 0.775 0.000 Pr
0.557 0.557 0.332 Pr
0.775 0.443 0.000 Pr
0.000 0.000 0.000 Sm
```

[8]
The following is a DFT calculation (PBE) of a relaxed Pr3Sm5In2 crystal.

Values from the calculation:
Formation energy: 0.04 eV/atom
Symmetry: Ibam (72)
E: -86.02 eV for the cell shown

Cell and atoms, written as POSCAR:
```
Pr3Sm5In2
1.0
-6.581 7.820 3.306
6.581 -7.820 3.306
6.581 7.820 -3.306
Pr Sm In
6 10 4
Direct
0.241 0.117 0.358 Pr
0.250 0.250 0.000 Pr
0.259 0.617 0.877 Pr
0.741 0.383 0.123 Pr
0.750 0.750 0.000 Pr
0.759 0.883 0.642 Pr
0.162 0.377 0.539 Sm
0.250 0.502 0.252 Sm
0.250 0.750 0.500 Sm
0.250 0.998 0.748 Sm
0.338 0.877 0.215 Sm
0.662 0.123 0.785 Sm
0.750 0.002 0.252 Sm
0.750 0.250 0.500 Sm
0.750 0.498 0.748 Sm
0.838 0.623 0.461 Sm
0.146 0.866 0.012 In
0.354 0.366 0.719 In
0.646 0.634 0.281 In
0.854 0.134 0.988 In
```

[9]
The following is a DFT calculation (PBE) of a relaxed Nd4Y11Tm9 crystal.

Values from the calculation:
Formation energy: 0.06 eV/atom
Symmetry: Cmmm (65)
E: -128.95 eV for the cell shown

Cell and atoms, written as POSCAR:
```
Nd4Y11Tm9
1.0
8.326 -12.535 0.000
8.326 12.535 0.000
0.000 0.000 3.693
Nd Y Tm
4 11 9
Direct
0.054 0.255 0.000 Nd
0.255 0.054 0.000 Nd
0.745 0.946 0.000 Nd
0.946 0.745 0.000 Nd
0.094 0.456 0.500 Y
0.135 0.865 0.500 Y
0.212 0.212 0.500 Y
0.341 0.659 0.500 Y
0.456 0.094 0.500 Y
0.500 0.500 0.500 Y
0.544 0.906 0.500 Y
0.659 0.341 0.500 Y
0.788 0.788 0.500 Y
0.865 0.135 0.500 Y
0.906 0.544 0.500 Y
0.000 0.000 0.000 Tm
0.134 0.663 0.000 Tm
0.289 0.433 0.000 Tm
0.337 0.866 0.000 Tm
0.433 0.289 0.000 Tm
0.567 0.711 0.000 Tm
0.663 0.134 0.000 Tm
0.711 0.567 0.000 Tm
0.866 0.337 0.000 Tm
```

[10]
The following is a DFT calculation (PBE) of a relaxed Be2Tl3 crystal.

Values from the calculation:
Formation energy: 0.53 eV/atom
ΔE to the lowest computed polymorph: 8.5 kJ/mol of atoms
Symmetry: Fdd2 (43)
E: -23.80 eV for the cell shown

Cell and atoms, written as POSCAR:
```
Be2Tl3
1.0
0.000 11.464 1.590
6.076 0.000 1.590
6.076 11.464 0.000
Be Tl
4 6
Direct
0.178 0.822 0.308 Be
0.558 0.942 0.428 Be
0.822 0.178 0.692 Be
0.942 0.558 0.072 Be
0.006 0.732 0.778 Tl
0.235 0.235 0.765 Tl
0.472 0.765 0.244 Tl
0.485 0.485 0.015 Tl
0.732 0.006 0.485 Tl
0.765 0.472 0.518 Tl
```

Size of the total moment values (in μB/cell) by entry order: 0.0; 0.9; 0.0; 0.0; 0.6; 0.0; 0.0; 0.0; 0.0; 0.0.